Below is an optimized crystal structure of AcGa2Au, with properties calculated at the PBE level.

a = 4.894 Å, b = 5.956 Å, c = 6.906 Å
α = 90.00°, β = 90.00°, γ = 114.25°
Fractional coordinates of all 8 atoms:
Ga 0.618 0.235 0.057
Ga 0.382 0.765 0.557
Ga 0.382 0.765 0.943
Ga 0.618 0.235 0.443
Ac 0.898 0.797 0.250
Ac 0.102 0.203 0.750
Au 0.802 0.603 0.750
Au 0.198 0.397 0.250

relative energy among the computed polymorphs = 37 meV per atom
formation energy = -0.613 eV/atom
volume = 183.53 Å³ per cell
theoretical density = 10.195 Mg/m³
total magnetization = 0.00 μB/cell